The following is a DFT calculation (PBEsol) of crystalline YMgTiS4 at its relaxed geometry.

Geometry as CIF:
```
data_YMgTiS4
_chemical_formula_sum 'Y2 Mg2 Ti2 S8'
_cell_length_a 7.284
_cell_length_b 7.530
_cell_length_c 7.530
_cell_angle_alpha 61.41
_cell_angle_beta 61.07
_cell_angle_gamma 61.07
_space_group_name_H-M_alt 'P 1'
_space_group_IT_number 1
loop_
_space_group_symop_operation_xyz
'x,y,z'
loop_
_atom_site_label
_atom_site_fract_x
_atom_site_fract_y
_atom_site_fract_z
Y1 0.000 0.500 0.500
Y2 0.000 0.000 0.000
Mg1 0.370 0.880 0.380
Mg2 0.630 0.120 0.620
Ti1 0.000 0.500 0.000
Ti2 0.500 0.500 0.000
S1 0.252 0.722 0.774
S2 0.728 0.270 0.770
S3 0.232 0.270 0.770
S4 0.748 0.726 0.778
S5 0.768 0.730 0.230
S6 0.252 0.274 0.222
S7 0.748 0.278 0.226
S8 0.272 0.730 0.230
```

For the total energy, the calculation gives -6.52 eV per atom. The formation energy without anion corrections is -1.602 eV/atom. Its density of states at the Fermi level is 0.459 states/eV/atom. Its symmetry is Imma (74).